DFT (PBE-GGA) results for an optimized crystal structure of TaCuSi2.

Properties
Formation energy from raw total energies in eV/atom: 0.39
Crystal system: cubic

Unit cell a=4.3715 b=4.3715 c=4.3715 alpha=60.00 beta=60.00 gamma=60.00
Last column: nearest neighbours and their distance in Å.
Fractional coordinates of all 4 atoms:
Ta (0.0000, 0.0000, 0.0000)  4 Cu 2.68, 4 Si 2.68
Cu (0.7500, 0.7500, 0.7500)  4 Si 2.68, 4 Ta 2.68
Si (0.2500, 0.2500, 0.2500)  4 Si 2.68, 4 Ta 2.68
Si (0.5000, 0.5000, 0.5000)  4 Si 2.68, 4 Cu 2.68



DFT (PBE-GGA) results for an optimized crystal structure of KAlAg2.

Properties
E_form in meV per atom: 163
Crystal system: tetragonal

Unit cell a=9.5314 b=9.5314 c=9.5314 alpha=146.56 beta=146.56 gamma=48.02
Last column: nearest neighbours and their distance in Å.
Fractional coordinates of all 8 atoms:
K (0.3750, 0.6250, 0.7500)  8 Ag 3.76, 4 Al 3.88
K (0.6250, 0.3750, 0.2500)  8 Ag 3.76, 4 Al 3.88
Al (0.1250, 0.8750, 0.2500)  4 Ag 2.57
Al (0.8750, 0.1250, 0.7500)  4 Ag 2.57
Ag (0.0000, 0.0000, 0.0000)  2 Al 2.57, 2 Ag 2.74
Ag (0.0000, 0.0000, 0.5000)  2 Al 2.57, 2 Ag 2.74
Ag (0.0000, 0.5000, 0.0000)  2 Al 2.57, 2 Ag 2.74
Ag (0.5000, 0.0000, 0.5000)  2 Al 2.57, 2 Ag 2.74



DFT (PBE-GGA) results for an optimized crystal structure of Ba2NaMg12Ag3.

Properties
E_form in meV per atom: 201
Crystal system: trigonal

Unit cell a=8.8454 b=8.8454 c=8.8454 alpha=68.28 beta=68.28 gamma=68.28
Last column: nearest neighbours and their distance in Å.
Fractional coordinates of all 18 atoms:
Ba (0.0939, 0.0939, 0.0939)  6 Mg 3.52-3.63, 1 Ba 3.80
Ba (0.9061, 0.9061, 0.9061)  6 Mg 3.52-3.63, 1 Ba 3.80
Na (0.5000, 0.5000, 0.5000)  6 Mg 3.07
Mg (0.1169, 0.6377, 0.6377)  1 Ag 2.65
Mg (0.2181, 0.2181, 0.6351)  2 Ag 2.70
Mg (0.2181, 0.6351, 0.2181)  2 Ag 2.70
Mg (0.3623, 0.3623, 0.8831)  1 Ag 2.65
Mg (0.3623, 0.8831, 0.3623)  1 Ag 2.65
Mg (0.3649, 0.7819, 0.7819)  2 Ag 2.70
Mg (0.6351, 0.2181, 0.2181)  2 Ag 2.70
Mg (0.6377, 0.1169, 0.6377)  1 Ag 2.65
Mg (0.6377, 0.6377, 0.1169)  1 Ag 2.65
Mg (0.7819, 0.3649, 0.7819)  2 Ag 2.70
Mg (0.7819, 0.7819, 0.3649)  2 Ag 2.70
Mg (0.8831, 0.3623, 0.3623)  1 Ag 2.65
Ag (0.0000, 0.5000, 0.5000)  6 Mg 2.65-2.70
Ag (0.5000, 0.0000, 0.5000)  6 Mg 2.65-2.70
Ag (0.5000, 0.5000, 0.0000)  6 Mg 2.65-2.70



DFT (PBE-GGA) results for an optimized crystal structure of CsSiMo2As.

Properties
Formation energy from raw total energies in eV/atom: 1.60
Crystal system: tetragonal

Unit cell a=4.9890 b=4.9890 c=6.2150 alpha=90.00 beta=90.00 gamma=90.00
Last column: nearest neighbours and their distance in Å.
Fractional coordinates of all 5 atoms:
Cs (0.0000, 0.0000, 0.0000)  2 As 3.11
Si (0.5000, 0.5000, 0.0000)  4 Cs 3.53
Mo (0.0000, 0.5000, 0.5000)  2 As 2.49
Mo (0.5000, 0.0000, 0.5000)  2 As 2.49
As (0.0000, 0.0000, 0.5000)  4 Mo 2.49



DFT (PBE-GGA) results for an optimized crystal structure of K2SiO.

Properties
Formation energy from raw total energies in eV/atom: -0.48
Crystal system: tetragonal

Unit cell a=8.3878 b=8.3878 c=8.3878 alpha=92.86 beta=92.86 gamma=154.20
Last column: nearest neighbours and their distance in Å.
Fractional coordinates of all 8 atoms:
K (0.3750, 0.1700, 0.2950)  2 O 2.97, 2 Si 3.26
K (0.8300, 0.1250, 0.2050)  2 O 2.97, 2 Si 3.26
K (0.8750, 0.0800, 0.7050)  2 O 2.97, 2 Si 3.26
K (0.9200, 0.6250, 0.7950)  2 O 2.97, 2 Si 3.26
Si (0.2500, 0.7500, 0.5000)  2 O 1.87
Si (0.5000, 0.5000, 0.0000)  2 O 1.87
O (0.0000, 0.0000, 0.0000)  2 Si 1.87
O (0.7500, 0.2500, 0.5000)  2 Si 1.87



DFT (PBE-GGA) results for an optimized crystal structure of CuPdO.

Properties
Formation energy from raw total energies in eV/atom: 0.11
Crystal system: tetragonal

Unit cell a=4.9283 b=4.9283 c=4.9283 alpha=143.38 beta=143.38 gamma=52.76
Last column: nearest neighbours and their distance in Å.
Fractional coordinates of all 3 atoms:
Cu (0.0000, 0.0000, 0.0000)  1 O 1.90
Pd (0.7231, 0.7231, 0.0000)  4 O 2.19, 1 Cu 2.44
O (0.2149, 0.2149, 0.0000)  1 Cu 1.90